Record 1
Pr3AlHg2Rh3: relaxed, PBE-GGA.

Geometry as POSCAR:
```
Pr3AlHg2Rh3
1.0
3.729 0.000 0.000
0.000 7.889 0.000
0.000 -3.945 6.832
Pr Al Hg Rh
3 1 2 3
direct
0.000 0.000 0.376
0.000 0.624 0.624
0.000 0.376 0.000
0.000 0.000 0.000
0.500 0.333 0.667
0.500 0.667 0.333
0.500 0.777 0.000
0.500 0.223 0.223
0.500 0.000 0.777
```

Computed properties:
Formation energy from the elements = -0.54 eV per atom



Record 2
ScZnTe: relaxed, PBE-GGA.

Geometry as POSCAR:
```
ScZnTe
1.0
-2.127 1.698 2.806
-1.227 -3.330 -1.638
2.859 -3.018 3.994
Sc Te Zn
1 1 1
direct
0.000 0.000 0.007
0.667 0.333 0.317
0.333 0.667 0.676
```

Computed properties:
E_tot = -11.80 eV/cell



Record 3
In6Rh7: relaxed, PBE-GGA.

Geometry as POSCAR:
```
In6Rh7
1.0
9.461 -0.009 -0.006
7.864 5.260 -0.006
7.864 2.383 4.689
Rh In
7 6
direct
0.915 0.412 0.412
0.412 0.412 0.915
0.412 0.915 0.412
0.085 0.588 0.588
0.588 0.085 0.588
0.588 0.588 0.085
0.500 0.500 0.500
0.947 0.947 0.947
0.053 0.053 0.053
0.840 0.840 0.840
0.160 0.160 0.160
0.665 0.665 0.665
0.335 0.335 0.335
```

Computed properties:
Formation energy from the elements = -0.13 eV per atom



Record 4
EuLu2O4: relaxed, PBE-GGA.

Geometry as POSCAR:
```
EuLu2O4
1.0
-2.588 -0.062 -2.093
4.606 -6.887 -5.490
-4.993 -8.460 6.424
Eu Lu O
4 8 16
direct
0.750 0.254 0.150
0.250 0.246 0.650
0.750 0.754 0.350
0.250 0.746 0.850
0.750 0.921 0.609
0.250 0.579 0.109
0.750 0.421 0.891
0.250 0.079 0.391
0.750 0.927 0.112
0.250 0.573 0.612
0.750 0.427 0.388
0.250 0.073 0.888
0.750 0.923 0.924
0.250 0.577 0.424
0.750 0.423 0.576
0.250 0.077 0.076
0.750 0.018 0.284
0.250 0.482 0.784
0.750 0.518 0.216
0.250 0.982 0.716
0.750 0.623 0.979
0.250 0.877 0.479
0.750 0.123 0.521
0.250 0.377 0.021
0.750 0.709 0.670
0.250 0.791 0.170
0.750 0.209 0.830
0.250 0.291 0.330
```

Computed properties:
E_tot = -252.45 eV/cell



Record 5
Sc6Ni5Os: relaxed, PBE-GGA.

Geometry as POSCAR:
```
Sc6Ni5Os
1.0
4.295 -0.026 1.431
0.034 6.291 0.011
0.006 -0.013 7.141
Sc Ni Os
6 5 1
direct
0.833 0.750 0.333
0.833 0.250 0.333
0.500 0.250 0.000
0.500 0.750 0.000
0.167 0.750 0.667
0.167 0.250 0.667
0.667 0.500 0.665
0.334 0.000 0.332
0.000 0.500 0.000
0.666 0.000 0.668
0.333 0.500 0.335
0.000 0.000 0.000
```

Computed properties:
Formation energy from the elements = -0.51 eV per atom



Record 6
AcPrYZn: relaxed, PBE-GGA.

Geometry as POSCAR:
```
AcPrYZn
1.0
-0.474 -5.352 -1.630
4.251 -2.506 -2.679
2.980 -3.996 2.584
Pr Y Ac Zn
1 1 1 1
direct
0.250 0.250 0.250
0.750 0.750 0.750
0.000 0.000 0.000
0.500 0.500 0.500
```

Computed properties:
Formation energy from the elements = 0.16 eV per atom
Polymorph energy (0 for the lowest one) = 287 meV/atom



Record 7
LiEr4Ir3: relaxed, PBE-GGA.

Geometry as POSCAR:
```
LiEr4Ir3
1.0
4.672 0.000 -1.261
-0.335 4.665 -1.242
-0.437 -0.500 7.666
Er Ir Li
4 3 1
direct
0.371 0.371 0.742
0.629 0.629 0.258
0.129 0.129 0.258
0.871 0.871 0.742
0.000 0.500 0.000
0.743 0.243 0.485
0.257 0.757 0.515
0.500 0.000 0.000
```

Computed properties:
Formation energy from the elements = -0.74 eV per atom



Record 8
MgTaSe2: relaxed, PBE-GGA.

Geometry as POSCAR:
```
MgTaSe2
1.0
5.096 -0.004 0.016
3.977 3.187 0.016
0.045 0.016 4.685
Mg Se Ta
1 2 1
direct
0.275 0.275 0.138
0.008 0.008 0.100
0.752 0.752 0.614
0.466 0.466 0.647
```

Computed properties:
E_tot = -21.97 eV/cell